[1]
# SrZn2CuF8, relaxed, DFT PBE-GGA
data_SrZn2CuF8
_chemical_formula_sum 'Sr1 Zn2 Cu1 F8'
_space_group_name_H-M_alt 'P 1'
_space_group_IT_number 1
_space_group_name_Hall 'P 1'
_cell_length_a 5.0551
_cell_length_b 6.5961
_cell_length_c 5.0753
_cell_angle_alpha 90.00
_cell_angle_beta 93.50
_cell_angle_gamma 90.00
loop_
_atom_site_label
_atom_site_fract_x
_atom_site_fract_y
_atom_site_fract_z
Sr1 0.0000 0.0000 0.0000
Zn1 0.5000 0.2668 0.5000
Zn2 0.5000 0.7332 0.5000
Cu1 0.0000 0.5000 0.0000
F1 0.2025 0.2900 0.1990
F2 0.2025 0.7100 0.1990
F3 0.3142 0.5000 0.6820
F4 0.3303 0.0000 0.6674
F5 0.6697 0.0000 0.3326
F6 0.6858 0.5000 0.3180
F7 0.7975 0.2900 0.8010
F8 0.7975 0.7100 0.8010
# Total moment: 0.083 μB/atom
# N(E_F): 0.083 states/eV/atom
# V: 14.076 A^3/atom
# E_tot: -4.401 eV/atom
# Symmetry: P2/m, No. 10
# ρ: 4.27 g/cm3

***

[2]
# CdGeBiH, relaxed, DFT PBE-GGA
data_CdGeBiH
_chemical_formula_sum 'Cd1 Ge1 Bi1 H1'
_space_group_name_H-M_alt 'P 1'
_space_group_IT_number 1
_space_group_name_Hall 'P 1'
_cell_length_a 5.0481
_cell_length_b 3.5383
_cell_length_c 5.0580
_cell_angle_alpha 90.00
_cell_angle_beta 112.59
_cell_angle_gamma 90.00
loop_
_atom_site_label
_atom_site_fract_x
_atom_site_fract_y
_atom_site_fract_z
Cd1 0.0000 0.0000 0.0000
Ge1 0.6954 0.5000 0.3032
Bi1 0.3236 0.5000 0.6753
H1 0.6449 0.0000 0.3520
# Total moment: 0.000 μB/atom
# N(E_F): 0.256 states/eV/atom
# V: 20.853 A^3/atom
# Distance to the lowest polymorph of the same formula: 0.099 eV per atom
# E_tot: -2.926 eV/atom
# Symmetry: Pm, No. 6
# ρ: 7.86 g/cm3